DFT (GGA-PBE) results for a geometry-optimized Sr2AsPdPt structure.

Lattice parameters (Å, degrees): 5.9350 5.9350 4.5330 90.00 90.00 90.00
Last column: nearest neighbours and their distance in Å.
Element x y z (fractional)
Sr  0.0000  0.5000  0.0000  2 As 2.97
Sr  0.5000  0.0000  0.0000  2 As 2.97
As  0.0000  0.0000  0.0000  2 Pt 2.27
Pd  0.5000  0.5000  0.5000  8 Sr 3.73
Pt  0.0000  0.0000  0.5000  2 As 2.27

Computed properties:
The volume comes out at 159.7 Å³/cell. The density of states at the Fermi level comes out at 2.240 states/eV per cell. The value obtained for the theoretical density is 5.7 g/cm3. As for the energy relative to the elements: -347 meV per atom. Its total energy is -4.1962 eV per atom.

=====

DFT (GGA-PBE) results for a geometry-optimized La2AlPdAu6 structure.

Lattice parameters (Å, degrees): 5.4463 6.7073 7.3454 79.74 68.38 66.18
Last column: nearest neighbours and their distance in Å.
Element x y z (fractional)
La  0.2215  0.2560  0.3029  7 Au 3.15-3.36, 2 Pd 3.40-3.42
La  0.7785  0.7440  0.6971  7 Au 3.15-3.36, 2 Pd 3.40-3.42
Al  0.0000  0.0000  0.0000  6 Au 2.55-2.63
Pd  0.5000  0.5000  0.5000  6 Au 2.75-2.82
Au  0.2211  0.7938  0.2626  1 Al 2.55, 2 Au 2.71-2.74, 1 Pd 2.75
Au  0.2537  0.5896  0.9028  1 Al 2.63, 1 Pd 2.82
Au  0.2811  0.2048  0.7392  1 Al 2.55, 2 Au 2.71-2.74, 1 Pd 2.75
Au  0.7189  0.7952  0.2608  1 Al 2.55, 2 Au 2.71-2.74, 1 Pd 2.75
Au  0.7463  0.4104  0.0972  1 Al 2.63, 1 Pd 2.82
Au  0.7789  0.2062  0.7374  1 Al 2.55, 2 Au 2.71-2.74, 1 Pd 2.75

Computed properties:
The volume comes out at 228.1 Å³/cell. The density of states at the Fermi level comes out at 4.138 states/eV per cell. The value obtained for the theoretical density is 11.6 g/cm3. As for the energy relative to the elements: -559 meV per atom. Its total energy is -4.4045 eV per atom.

=====

DFT (GGA-PBE) results for a geometry-optimized SrHfSeN2 structure.

Lattice parameters (Å, degrees): 4.2581 4.2581 5.4050 90.00 90.00 90.00
Last column: nearest neighbours and their distance in Å.
Element x y z (fractional)
Sr  0.0000  0.0000  0.0000  4 Se 3.01
Hf  0.5000  0.5000  0.5000  4 N 2.13
Se  0.5000  0.5000  0.0000  2 Hf 2.70, 4 Sr 3.01
N  0.0000  0.5000  0.5000  2 Hf 2.13
N  0.5000  0.0000  0.5000  2 Hf 2.13

Computed properties:
The volume comes out at 98.0 Å³/cell. The density of states at the Fermi level comes out at 3.774 states/eV per cell. The value obtained for the theoretical density is 6.3 g/cm3. The value obtained for the uncorrected formation energy is -700 meV/atom. Its total energy is -7.0539 eV per atom.

=====

DFT (GGA-PBE) results for a geometry-optimized AcNd4HoTm2 structure.

Lattice parameters (Å, degrees): 6.3170 6.3170 10.3713 114.25 114.25 48.34
Last column: nearest neighbours and their distance in Å.
Element x y z (fractional)
Ac  0.0000  0.0000  0.0000  8 Nd 3.67-3.68, 4 Tm 3.72
Nd  0.2470  0.2470  0.8690  1 Ho 3.60, 4 Tm 3.62-3.76, 4 Nd 3.65-3.73, 3 Ac 3.67
Nd  0.2513  0.2513  0.3787  4 Tm 3.57-3.66, 4 Nd 3.62-3.65, 3 Ho 3.64, 1 Ac 3.68
Nd  0.7487  0.7487  0.6213  4 Tm 3.57-3.66, 4 Nd 3.62-3.65, 3 Ho 3.64, 1 Ac 3.68
Nd  0.7530  0.7530  0.1310  1 Ho 3.60, 4 Tm 3.62-3.76, 4 Nd 3.65-3.73, 3 Ac 3.67
Ho  0.0000  0.0000  0.5000  8 Nd 3.60-3.64, 4 Tm 3.61
Tm  0.4991  0.4991  0.2573  8 Nd 3.57-3.76, 2 Ho 3.61, 2 Ac 3.72
Tm  0.5009  0.5009  0.7427  8 Nd 3.57-3.76, 2 Ho 3.61, 2 Ac 3.72

Computed properties:
The volume comes out at 276.1 Å³/cell. The density of states at the Fermi level comes out at 12.400 states/eV per cell. The value obtained for the theoretical density is 7.9 g/cm3. As for the energy relative to the elements: 37 meV per atom. Its total energy is -4.5502 eV per atom.

=====

DFT (GGA-PBE) results for a geometry-optimized La2PmSb3 structure.

Lattice parameters (Å, degrees): 7.9342 7.9342 7.9342 146.39 131.79 60.05
Last column: nearest neighbours and their distance in Å.
Element x y z (fractional)
La  0.1673  0.1673  0.0000  6 Sb 3.24-3.27
La  0.8327  0.8327  0.0000  6 Sb 3.24-3.27
Pm  0.5000  0.5000  0.0000  6 Sb 3.21-3.24
Sb  0.0000  0.5000  0.5000  2 Pm 3.24, 4 La 3.25
Sb  0.3368  0.8368  0.5000  2 Pm 3.21, 4 La 3.24-3.27
Sb  0.6632  0.1632  0.5000  2 Pm 3.21, 4 La 3.24-3.27

Computed properties:
The volume comes out at 204.2 Å³/cell. The density of states at the Fermi level comes out at 0.879 states/eV per cell. The value obtained for the theoretical density is 6.4 g/cm3. The value obtained for the uncorrected formation energy is -1244 meV/atom. Its total energy is -5.7398 eV per atom.

=====

DFT (GGA-PBE) results for a geometry-optimized Sc2PaOs2 structure.

Lattice parameters (Å, degrees): 10.1539 10.1539 3.2050 90.00 90.00 161.62
Last column: nearest neighbours and their distance in Å.
Element x y z (fractional)
Sc  0.1722  0.8278  0.0000  4 Os 2.74
Sc  0.8278  0.1722  0.0000  4 Os 2.74
Pa  0.0000  0.0000  0.0000  8 Os 2.99, 4 Pa 3.20-3.24
Os  0.4039  0.5961  0.5000  4 Sc 2.74, 4 Pa 2.99
Os  0.5961  0.4039  0.5000  4 Sc 2.74, 4 Pa 2.99

Computed properties:
The volume comes out at 104.2 Å³/cell. The density of states at the Fermi level comes out at 3.470 states/eV per cell. The value obtained for the theoretical density is 11.2 g/cm3. As for the energy relative to the elements: -272 meV per atom. Its total energy is -9.1961 eV per atom.

=====

DFT (GGA-PBE) results for a geometry-optimized TaCo5 structure.

Lattice parameters (Å, degrees): 4.4718 4.4718 4.0702 90.00 90.00 120.00
Last column: nearest neighbours and their distance in Å.
Element x y z (fractional)
Ta  0.0000  0.0000  0.0000  12 Co 2.58-2.61
Co  0.0000  0.6359  0.5000  8 Co 2.47-2.49, 2 Ta 2.61
Co  0.3333  0.6667  0.0000  9 Co 2.49-2.58, 3 Ta 2.58
Co  0.3641  0.3641  0.5000  8 Co 2.47-2.49, 2 Ta 2.61
Co  0.6359  0.0000  0.5000  8 Co 2.47-2.49, 2 Ta 2.61
Co  0.6667  0.3333  0.0000  9 Co 2.49-2.58, 3 Ta 2.58

Computed properties:
The volume comes out at 70.5 Å³/cell. The density of states at the Fermi level comes out at 6.765 states/eV per cell. The value obtained for the theoretical density is 11.2 g/cm3. As for the energy relative to the elements: -68 meV per atom. Its total energy is -7.9647 eV per atom.

=====

DFT (GGA-PBE) results for a geometry-optimized MgHg2I2 structure.

Lattice parameters (Å, degrees): 7.6391 7.6391 7.5124 90.00 90.00 90.00
Last column: nearest neighbours and their distance in Å.
Element x y z (fractional)
Mg  0.0000  0.0000  0.0000  4 I 2.81
Mg  0.5000  0.5000  0.0000  4 I 2.81
Hg  0.1583  0.3417  0.5000  1 Hg 3.42
Hg  0.3417  0.8417  0.5000  1 Hg 3.42
Hg  0.6583  0.1583  0.5000  1 Hg 3.42
Hg  0.8417  0.6583  0.5000  1 Hg 3.42
I  0.1788  0.6788  0.0000  2 Mg 2.81
I  0.3212  0.1788  0.0000  2 Mg 2.81
I  0.6788  0.8212  0.0000  2 Mg 2.81
I  0.8212  0.3212  0.0000  2 Mg 2.81

Computed properties:
The volume comes out at 438.4 Å³/cell. The density of states at the Fermi level comes out at 0.000 states/eV per cell. The value obtained for the theoretical density is 5.1 g/cm3. The value obtained for the uncorrected formation energy is -398 meV/atom. Its total energy is -1.4579 eV per atom.

=====

Among the records above, which one has the highest theoretical density? La2AlPdAu6